## P
Density functional theory data (GGA-PBE) for a geometry-optimized Fe2HgAs structure.

Summary:
* SG: No. 65
* magnetization: 4.93 μB per cell

a = 4.576 Å, b = 4.576 Å, c = 2.950 Å
α = 90.00°, β = 90.00°, γ = 90.17°
Fractional coordinates of all 4 atoms:
Fe (0.000, 0.500, 0.000)
Fe (0.500, 0.000, 0.000)
Hg (0.000, 0.000, 0.500)
As (0.500, 0.500, 0.500)

=====

## Q
Density functional theory data (GGA-PBE) for a geometry-optimized Fe2HgAs structure.

Summary:
* SG: No. 166
* magnetization: 4.15 μB per cell

a = 8.245 Å, b = 8.245 Å, c = 8.245 Å
α = 20.73°, β = 20.73°, γ = 20.73°
Fractional coordinates of all 4 atoms:
Fe (0.240, 0.240, 0.240)
Fe (0.760, 0.760, 0.760)
Hg (0.000, 0.000, 0.000)
As (0.500, 0.500, 0.500)

=====

Name the least stable of them. P.

=====

## P
Density functional theory data (GGA-PBE) for a geometry-optimized La6Pr12Er structure.

Summary:
* SG: No. 148
* magnetization: 0.00 μB per cell

a = 8.856 Å, b = 8.856 Å, c = 8.856 Å
α = 89.64°, β = 89.64°, γ = 89.64°
Fractional coordinates of all 19 atoms:
La (0.201, 0.766, 0.595)
La (0.234, 0.405, 0.799)
La (0.405, 0.799, 0.234)
La (0.595, 0.201, 0.766)
La (0.766, 0.595, 0.201)
La (0.799, 0.234, 0.405)
Pr (0.033, 0.936, 0.282)
Pr (0.064, 0.718, 0.967)
Pr (0.138, 0.479, 0.317)
Pr (0.282, 0.033, 0.936)
Pr (0.317, 0.138, 0.479)
Pr (0.479, 0.317, 0.138)
Pr (0.521, 0.683, 0.862)
Pr (0.683, 0.862, 0.521)
Pr (0.718, 0.967, 0.064)
Pr (0.862, 0.521, 0.683)
Pr (0.936, 0.282, 0.033)
Pr (0.967, 0.064, 0.718)
Er (0.500, 0.500, 0.500)

=====

## Q
Density functional theory data (GGA-PBE) for a geometry-optimized La6Pr12Er structure.

Summary:
* SG: No. 166
* magnetization: 0.00 μB per cell

a = 9.057 Å, b = 9.057 Å, c = 9.057 Å
α = 99.90°, β = 99.90°, γ = 99.90°
Fractional coordinates of all 19 atoms:
La (0.161, 0.591, 0.591)
La (0.409, 0.409, 0.839)
La (0.409, 0.839, 0.409)
La (0.591, 0.161, 0.591)
La (0.591, 0.591, 0.161)
La (0.839, 0.409, 0.409)
Pr (0.000, 0.256, 0.744)
Pr (0.000, 0.744, 0.256)
Pr (0.148, 0.148, 0.417)
Pr (0.148, 0.417, 0.148)
Pr (0.256, 0.000, 0.744)
Pr (0.256, 0.744, 0.000)
Pr (0.417, 0.148, 0.148)
Pr (0.583, 0.852, 0.852)
Pr (0.744, 0.000, 0.256)
Pr (0.744, 0.256, 0.000)
Pr (0.852, 0.583, 0.852)
Pr (0.852, 0.852, 0.583)
Er (0.500, 0.500, 0.500)

=====

Name the least stable of them. Q.

=====

## P
Density functional theory data (GGA-PBE) for a geometry-optimized LiTe2 structure.

Summary:
* SG: No. 8
* magnetization: 0.00 μB per cell

a = 6.712 Å, b = 6.712 Å, c = 7.628 Å
α = 111.70°, β = 111.70°, γ = 38.06°
Fractional coordinates of all 6 atoms:
Li (0.000, 0.000, 0.000)
Li (0.190, 0.190, 0.475)
Te (0.051, 0.051, 0.682)
Te (0.416, 0.416, 0.408)
Te (0.601, 0.601, 0.232)
Te (0.793, 0.793, 0.111)

=====

## Q
Density functional theory data (GGA-PBE) for a geometry-optimized LiTe2 structure.

Summary:
* SG: No. 194
* magnetization: 0.00 μB per cell

a = 5.317 Å, b = 5.317 Å, c = 6.306 Å
α = 90.00°, β = 90.00°, γ = 120.00°
Fractional coordinates of all 6 atoms:
Li (0.333, 0.667, 0.250)
Li (0.667, 0.333, 0.750)
Te (0.000, 0.000, 0.000)
Te (0.000, 0.000, 0.500)
Te (0.333, 0.667, 0.750)
Te (0.667, 0.333, 0.250)

=====

Name the least stable of them. Q.